No. 1
12
Lattice="2.074 -7.494 0.000 2.074 7.494 0.000 0.000 0.000 11.032" Properties=species:S:1:pos:R:3 comment="BaHoTeAuS2, relaxed, DFT GGA-PBE" volume_a3_per_cell=342.8 magnetic_moment_mub_per_fu=0.0 sg="No. 63" dft_energy_ev_per_fu=-29.7 pbc="T T T"
Ho 0.000 0.000 5.516
Ba 2.074 4.311 2.758
Au 2.074 -0.331 2.758
S 2.074 1.760 10.348
S 2.074 1.760 6.200
S 2.074 -1.760 0.684
Te 2.074 -5.970 2.758
Ho 0.000 0.000 0.000
S 2.074 -1.760 4.832
Te 2.074 5.970 8.274
Au 2.074 0.331 8.274
Ba 2.074 -4.311 8.274

=====

No. 2
12
Lattice="-1.099 7.630 -1.116 0.368 -7.105 -3.170 -10.550 -1.279 1.642" Properties=species:S:1:pos:R:3 comment="BaHoTe2AuS, relaxed, DFT GGA-PBE" volume_a3_per_cell=352.0 magnetic_moment_mub_per_fu=0.0 sg="No. 63" dft_energy_ev_per_fu=-28.1 pbc="T T T"
Te -9.835 -6.217 -1.322
S -8.177 -1.710 -1.052
Ba -8.675 3.294 -0.355
Ho -0.365 0.262 -2.143
Au -3.702 6.970 -0.753
Te -5.609 4.957 -0.674
Ho -5.640 -0.377 -1.322
Au -7.578 -7.725 -1.891
S -3.104 0.955 -1.591
Ba -2.605 -4.048 -2.289
Te -1.445 5.462 -1.322
Te -5.671 -5.712 -1.970

=====

No. 3
12
Lattice="-5.520 5.265 -5.602 -2.736 3.677 -8.281 -4.379 -7.499 -0.105" Properties=species:S:1:pos:R:3 comment="BaHoAuSe3, relaxed, DFT GGA-PBE" volume_a3_per_cell=329.3 magnetic_moment_mub_per_fu=0.0 sg="No. 12" dft_energy_ev_per_fu=-28.9 pbc="T T T"
Au -5.401 3.247 -7.539
Se 0.000 0.000 0.000
Au -7.234 -1.804 -6.450
Se -6.317 0.721 -6.994
Ba -9.016 4.610 -12.105
Se -5.587 -2.278 -4.457
Se -7.048 3.721 -9.532
Ho -10.903 0.636 -11.710
Ba -3.619 -3.167 -1.883
Se -3.235 1.929 -4.506
Ho -1.732 0.806 -2.278
Se -9.400 -0.486 -9.482

=====

No. 4
12
Lattice="-1.396 3.124 7.555 -3.303 -2.542 0.440 6.153 -7.808 1.092" Properties=species:S:1:pos:R:3 comment="BaHoAuSe3, relaxed, DFT GGA-PBE" volume_a3_per_cell=331.8 magnetic_moment_mub_per_fu=0.0 sg="No. 11" dft_energy_ev_per_fu=-29.2 pbc="T T T"
Au -1.275 -2.212 7.586
Ho -0.803 0.265 5.482
Se 0.957 -1.923 6.053
Au 2.728 -5.014 1.502
Se -2.885 -0.145 7.443
Ba 0.888 -5.145 6.890
Se 0.496 -5.302 3.036
Se 3.692 -5.613 5.270
Se -2.239 -1.613 3.818
Ba 0.565 -2.081 2.198
Ho 2.256 -7.491 3.606
Se 4.338 -7.081 1.645

=====

No. 5
12
Lattice="2.170 -7.552 0.000 2.170 7.552 0.000 0.000 0.000 10.911" Properties=species:S:1:pos:R:3 comment="BaHoTe2AuSe, relaxed, DFT GGA-PBE" volume_a3_per_cell=357.7 magnetic_moment_mub_per_fu=0.0 sg="No. 63" dft_energy_ev_per_fu=-27.4 pbc="T T T"
Ho 0.000 0.000 0.000
Te 2.170 -2.146 10.375
Ba 2.170 3.633 8.184
Te 2.170 2.146 4.919
Se 2.170 6.434 2.728
Ho 0.000 0.000 5.456
Au 2.170 -0.471 8.184
Te 2.170 2.146 0.536
Ba 2.170 -3.633 2.728
Au 2.170 0.471 2.728
Te 2.170 -2.146 5.992
Se 2.170 -6.434 8.184

=====

No. 6
12
Lattice="2.112 -7.515 0.000 2.112 7.515 0.000 0.000 0.000 11.039" Properties=species:S:1:pos:R:3 comment="BaHoTeAuSe2, relaxed, DFT GGA-PBE" volume_a3_per_cell=350.4 magnetic_moment_mub_per_fu=0.0 sg="No. 63" dft_energy_ev_per_fu=-28.2 pbc="T T T"
Ho 2.112 0.000 5.520
Au 2.112 -7.069 2.760
Ba 2.112 -3.369 8.279
Te 2.112 1.381 8.279
Ho 2.112 0.000 0.000
Se 2.112 -5.579 4.935
Se 2.112 5.579 10.454
Se 2.112 -5.579 0.585
Se 2.112 5.579 6.104
Au 2.112 7.069 8.279
Te 2.112 -1.381 2.760
Ba 2.112 3.369 2.760

=====

No. 7
12
Lattice="-6.497 -5.488 -1.492 0.400 -1.588 4.098 -4.287 9.068 3.931" Properties=species:S:1:pos:R:3 comment="BaHoTe3Au, relaxed, DFT GGA-PBE" volume_a3_per_cell=391.8 magnetic_moment_mub_per_fu=0.0 sg="No. 11" dft_energy_ev_per_fu=-26.5 pbc="T T T"
Te -1.666 -2.240 2.859
Te -8.491 -0.472 4.209
Ba -4.857 5.471 3.781
Ba -5.527 -3.479 2.756
Ho -3.162 0.174 3.940
Au -0.939 0.074 1.308
Te -8.718 4.233 3.678
Au -9.446 1.918 5.229
Te -5.132 -0.215 1.605
Te -5.252 2.208 4.932
Te -1.893 2.465 2.327
Ho -7.222 1.818 2.597

=====

No. 8
8
Lattice="-4.360 -2.070 4.011 -3.991 -1.105 -5.097 4.626 -6.129 -2.110" Properties=species:S:1:pos:R:3 comment="BaAuI6, relaxed, DFT GGA-PBE" volume_a3_per_cell=310.9 sg="No. 2" dft_energy_ev_per_fu=-18.8 pbc="T T T"
I -3.057 -5.380 1.679
I 0.826 -5.889 0.785
I -3.010 -1.073 -1.439
Au 0.000 0.000 0.000
Ba -1.863 -4.652 -1.599
I -4.552 -3.415 -3.982
I -0.670 -3.924 -4.876
I -0.716 -8.231 -1.758

=====

No. 9
4
Lattice="-2.063 3.509 -2.406 -1.071 -0.576 -4.569 -6.897 -4.102 4.585" Properties=species:S:1:pos:R:3 comment="Ba2AuI, relaxed, DFT GGA-PBE" volume_a3_per_cell=170.9 sg="No. 166" dft_energy_ev_per_fu=-13.0 pbc="T T T"
Au 0.000 0.000 0.000
Ba -6.292 -2.477 1.793
Ba -3.739 1.308 -4.182
I -5.015 -0.584 -1.195

=====

No. 10
4
Lattice="-2.259 0.942 5.024 0.016 5.159 2.148 -4.779 2.866 0.422" Properties=species:S:1:pos:R:3 comment="Ba2InAu, relaxed, DFT GGA-PBE" volume_a3_per_cell=123.4 sg="No. 216" dft_energy_ev_per_fu=-11.2 pbc="T T T"
Ba -1.755 2.242 1.899
Au -3.511 4.483 3.797
Ba 0.000 0.000 0.000
In -5.266 6.725 5.696

=====

No. 11
4
Lattice="0.000 3.830 3.830 3.830 0.000 3.830 3.830 3.830 0.000" Properties=species:S:1:pos:R:3 comment="BaIn2Au, relaxed, DFT GGA-PBE" volume_a3_per_cell=112.3 sg="No. 216" dft_energy_ev_per_fu=-12.1 pbc="T T T"
Au 3.830 3.830 3.830
Ba 5.745 5.745 5.745
In 0.000 0.000 0.000
In 1.915 1.915 1.915

=====

No. 12
14
Lattice="4.708 0.000 0.000 0.000 7.979 0.000 0.000 0.000 9.351" Properties=species:S:1:pos:R:3 comment="BaIn3Au3, relaxed, DFT GGA-PBE" volume_a3_per_cell=351.3 sg="No. 59" dft_energy_ev_per_fu=-23.4 pbc="T T T"
Au 2.354 2.190 3.843
Au 2.354 5.789 3.843
In 2.354 0.000 5.912
In 2.354 5.550 1.059
In 0.000 1.560 8.292
In 0.000 3.990 3.440
Ba 2.354 3.990 6.843
Au 0.000 3.990 0.475
Ba 0.000 0.000 2.509
Au 0.000 6.180 5.508
Au 0.000 1.800 5.508
Au 2.354 0.000 8.877
In 0.000 6.419 8.292
In 2.354 2.430 1.059

=====

No. 13
20
Lattice="8.883 0.000 0.000 0.000 4.780 0.000 0.000 0.000 12.518" Properties=species:S:1:pos:R:3 comment="BaIn2Au2, relaxed, DFT GGA-PBE" volume_a3_per_cell=531.5 sg="No. 62" dft_energy_ev_per_fu=-16.7 pbc="T T T"
In 5.694 3.585 4.480
In 5.348 3.585 11.901
Au 3.641 3.585 6.522
Au 5.242 1.195 5.996
Au 0.800 1.195 0.263
Ba 2.484 1.195 4.177
Au 4.673 1.195 10.463
Au 0.232 1.195 8.314
In 1.252 3.585 1.779
Ba 6.926 1.195 2.082
In 3.189 1.195 8.038
Ba 1.958 3.585 10.436
Au 8.083 3.585 12.255
In 7.631 1.195 10.739
In 7.977 1.195 5.642
In 3.536 1.195 0.617
Au 4.210 3.585 2.055
In 0.906 3.585 6.876
Au 8.652 3.585 4.204
Ba 6.399 3.585 8.341

=====

No. 14
5
Lattice="1.764 4.927 4.909 -4.591 3.051 4.593 2.015 -6.397 -2.551" Properties=species:S:1:pos:R:3 comment="BaMg2InAu, relaxed, DFT GGA-PBE" volume_a3_per_cell=140.0 sg="No. 107" dft_energy_ev_per_fu=-13.2 pbc="T T T"
Mg -2.016 0.379 3.466
In -1.725 4.866 5.796
Ba -2.817 7.947 9.465
Mg 1.162 1.317 3.624
Au -1.073 3.027 3.605

=====

No. 15
8
Lattice="-2.027 7.311 2.629 -1.737 -2.388 5.301 2.842 -1.099 5.248" Properties=species:S:1:pos:R:3 comment="BaNaIn4Au2, relaxed, DFT GGA-PBE" volume_a3_per_cell=213.3 sg="No. 38" dft_energy_ev_per_fu=-23.9 pbc="T T T"
In -0.700 2.952 11.158
Au 0.320 -1.010 3.055
In 0.564 -1.607 9.519
Na 0.630 -1.987 6.010
Au -0.218 1.147 8.904
In -1.289 4.717 3.339
In -0.431 1.623 2.227
Ba -0.536 2.149 5.872

=====

No. 16
10
Lattice="-4.523 1.709 -0.431 -1.686 -3.847 2.433 1.179 5.526 9.553" Properties=species:S:1:pos:R:3 comment="BaIn2PdAu, relaxed, DFT GGA-PBE" volume_a3_per_cell=261.6 sg="No. 129" dft_energy_ev_per_fu=-18.8 pbc="T T T"
In -2.515 1.694 5.778
Ba 0.056 2.291 8.503
Ba -1.982 2.166 2.052
Au -0.416 0.076 4.674
Pd -3.104 -1.069 1.001
In -0.714 -1.321 2.259
Au -1.509 4.381 5.881
In 0.589 2.763 4.777
Pd 0.000 0.000 0.000
In -1.211 5.778 8.295

=====

No. 17
5
Lattice="-2.290 -6.260 -1.095 -3.716 -2.752 4.923 0.058 5.842 -3.391" Properties=species:S:1:pos:R:3 comment="BaInSn2Au, relaxed, DFT GGA-PBE" volume_a3_per_cell=145.2 sg="No. 107" dft_energy_ev_per_fu=-18.5 pbc="T T T"
Ba -5.947 -8.923 3.791
Sn -2.569 -2.389 -1.317
Sn -3.282 -0.635 1.692
In -3.555 -5.334 2.266
Au -2.133 -3.201 1.360

=====

No. 18
10
Lattice="-3.910 1.768 2.484 -3.047 -2.402 -3.086 0.229 -8.803 6.625" Properties=species:S:1:pos:R:3 comment="BaInSnAu2, relaxed, DFT GGA-PBE" volume_a3_per_cell=270.8 sg="No. 129" dft_energy_ev_per_fu=-18.0 pbc="T T T"
Au -1.870 -2.380 3.698
Sn -3.364 -4.719 3.011
Au -3.478 -0.317 -0.301
Ba -1.467 -3.374 0.092
Au -1.379 -6.740 2.625
Ba -1.782 -5.746 6.231
In -1.928 -0.166 2.032
Sn 0.114 -4.401 3.312
Au 0.000 0.000 0.000
In -1.322 -8.954 4.292

=====

No. 19
4
Lattice="0.112 0.923 5.653 -2.273 4.793 2.165 -4.850 -0.249 3.040" Properties=species:S:1:pos:R:3 comment="BaSrInAu, relaxed, DFT GGA-PBE" volume_a3_per_cell=133.0 sg="No. 216" dft_energy_ev_per_fu=-11.6 pbc="T T T"
Sr -3.505 2.734 5.429
In -1.753 1.367 2.715
Ba 0.000 0.000 0.000
Au -5.258 4.101 8.144

=====

No. 20
4
Lattice="0.000 3.880 3.880 3.880 0.000 3.880 3.880 3.880 0.000" Properties=species:S:1:pos:R:3 comment="BaSrInAu, relaxed, DFT GGA-PBE" volume_a3_per_cell=116.8 sg="No. 216" dft_energy_ev_per_fu=-11.0 pbc="T T T"
Ba 3.880 3.880 3.880
In 0.000 0.000 0.000
Sr 1.940 1.940 1.940
Au 5.820 5.820 5.820

=====

No. 21
8
Lattice="6.427 0.000 0.000 0.000 4.782 0.000 -0.002 0.000 8.485" Properties=species:S:1:pos:R:3 comment="Ba4IrAu3, relaxed, DFT GGA-PBE" volume_a3_per_cell=260.8 magnetic_moment_mub_per_fu=0.0 sg="No. 6" dft_energy_ev_per_fu=-30.6 pbc="T T T"
Au 4.031 0.000 3.898
Ir 5.608 0.000 8.192
Ba 4.116 2.391 1.396
Au 2.355 2.391 4.555
Ba 5.563 2.391 5.944
Ba 0.794 0.000 2.635
Au 0.841 2.391 0.306
Ba 2.393 0.000 7.014

=====

No. 22
4
Lattice="-0.596 -3.823 -3.194 0.258 -4.725 1.667 -4.146 -2.817 0.206" Properties=species:S:1:pos:R:3 comment="BaIrAu2, relaxed, DFT GGA-PBE" volume_a3_per_cell=89.3 magnetic_moment_mub_per_fu=0.0 sg="No. 216" dft_energy_ev_per_fu=-15.9 pbc="T T T"
Au 0.000 0.000 0.000
Au -1.121 -2.841 -0.330
Ba -3.364 -8.524 -0.991
Ir -2.243 -5.682 -0.661

=====

No. 23
5
Lattice="-0.978 3.585 4.482 -1.119 -4.579 3.418 3.674 -0.188 0.951" Properties=species:S:1:pos:R:3 comment="Ba2IrAuN, relaxed, DFT GGA-PBE" volume_a3_per_cell=128.8 magnetic_moment_mub_per_fu=0.0 sg="No. 123" dft_energy_ev_per_fu=-27.5 pbc="T T T"
Ba -0.489 1.793 2.241
Ir 1.837 -0.094 0.476
Ba -0.560 -2.289 1.709
N 0.000 0.000 0.000
Au 0.788 -0.590 4.426

=====

No. 24
10
Lattice="5.993 -3.460 0.000 5.993 3.460 0.000 -3.995 0.000 5.650" Properties=species:S:1:pos:R:3 comment="Ba2IrAuS6, relaxed, DFT GGA-PBE" volume_a3_per_cell=234.3 magnetic_moment_mub_per_fu=1.1 sg="No. 225" dft_energy_ev_per_fu=-46.9 pbc="T T T"
Ba 0.000 0.000 4.237
S 1.948 0.000 1.377
Ir 0.000 0.000 0.000
S 2.971 1.773 4.273
S 5.019 -1.773 1.377
S 5.019 1.773 1.377
S 6.042 0.000 4.273
S 2.971 -1.773 4.273
Au 3.995 0.000 2.825
Ba 7.990 0.000 1.412